4
Lattice="3.6183 0.0000 0.0000 0.0000 3.6199 0.0000 0.0000 0.0000 7.3879" Properties=species:S:1:pos:R:3 comment="YScCd2 PBE-GGA optimized geometry" magmom_total_mub_per_fu=0.09 delta_e_f_ev_per_atom=-0.32 mass_density_g_cm3=6.2 dft_energy_ev_per_cell=-15.9 pbc="T T T"
Cd 0.0000 0.0000 3.5308
Cd 0.0000 0.0000 0.1632
Y 1.8092 1.8099 5.5409
Sc 1.8092 1.8099 1.8470

---

6
Lattice="-0.7170 3.1569 5.4762 -3.2853 0.7942 0.1564 0.0478 -7.4424 2.2867" Properties=species:S:1:pos:R:3 comment="YScCd PBE-GGA optimized geometry" magmom_total_mub_per_fu=0.00 delta_e_f_ev_per_atom=-0.09 mass_density_g_cm3=5.3 dft_energy_ev_per_cell=-27.9 relative_energy_mev_per_atom=129.1 pbc="T T T"
Cd -2.0218 -1.9223 7.1619
Cd -1.8304 -0.5911 4.4494
Sc -2.3335 -2.1216 1.6234
Sc -0.7896 -3.4553 4.2593
Y -3.2055 1.3557 2.1798
Y -1.0863 2.4136 4.6541

---

8
Lattice="4.7333 0.0000 0.0000 2.3666 4.0991 0.0000 2.3666 1.3664 8.1151" Properties=species:S:1:pos:R:3 comment="YSc2Zn4Cd PBE-GGA optimized geometry" magmom_total_mub_per_fu=0.00 delta_e_f_ev_per_atom=-0.27 mass_density_g_cm3=5.8 dft_energy_ev_per_cell=-27.3 pbc="T T T"
Y 0.0000 0.0000 0.0000
Zn 4.7333 2.7328 1.1034
Zn 4.7333 2.7328 7.0117
Zn 2.3666 1.3664 5.0973
Zn 7.0999 4.0991 3.0178
Cd 4.7333 2.7328 4.0575
Sc 2.3666 1.3664 2.1964
Sc 7.0999 4.0991 5.9186

---

4
Lattice="-1.2811 -1.7029 -4.0175 2.1751 -2.1782 0.2297 -3.6029 -3.3249 2.5582" Properties=species:S:1:pos:R:3 comment="ScZn2Cd PBE-GGA optimized geometry" magmom_total_mub_per_fu=0.00 delta_e_f_ev_per_atom=-0.16 mass_density_g_cm3=6.2 dft_energy_ev_per_cell=-10.5 pbc="T T T"
Zn -2.9876 -3.8034 2.5648
Zn -1.3292 -2.2730 1.3873
Sc -1.7114 -4.9788 0.0822
Cd -0.9975 -2.2272 -1.3118

---

13
Lattice="5.1465 0.0000 2.0571 2.5787 6.6097 1.0150 0.1209 -0.1728 7.1641" Properties=species:S:1:pos:R:3 comment="ScZn6Cd6 PBE-GGA optimized geometry" magmom_total_mub_per_fu=0.00 delta_e_f_ev_per_atom=-0.05 mass_density_g_cm3=7.6 dft_energy_ev_per_cell=-20.2 pbc="T T T"
Cd 3.5326 4.2456 6.0950
Cd 2.1159 1.2030 2.1727
Cd 4.3135 2.1913 4.1412
Cd 5.7301 5.2340 8.0635
Cd 0.9646 2.1557 5.0531
Cd 1.7349 4.2813 3.1260
Zn 3.2647 1.4016 6.7652
Zn 3.8626 3.3049 1.5360
Zn 4.5814 5.0353 3.4709
Zn 0.0604 -0.0864 3.5820
Zn 1.2893 3.3049 0.5075
Zn 2.6337 -0.0864 4.6106
Sc 0.0000 0.0000 0.0000

---

10
Lattice="-0.7016 0.3226 3.2538 -1.7679 -2.8369 -0.1000 13.7535 -8.7060 3.8289" Properties=species:S:1:pos:R:3 comment="Sc4Zn5Cd PBE-GGA optimized geometry" magmom_total_mub_per_fu=0.00 delta_e_f_ev_per_atom=-0.29 mass_density_g_cm3=5.5 dft_energy_ev_per_cell=-35.5 pbc="T T T"
Zn 5.6420 -5.6102 3.4913
Zn 2.9188 -3.8864 2.7332
Zn 0.1575 -2.1384 1.9645
Zn 11.1265 -9.0819 5.0182
Zn 8.3651 -7.3339 4.2494
Sc 11.0011 -6.9637 3.0626
Sc 8.2529 -5.2241 2.2975
Sc 2.7525 -1.7423 0.7663
Sc 5.5007 -3.4819 1.5313
Cd 0.0000 0.0000 0.0000

---

12
Lattice="-2.1123 3.3788 1.5351 -4.4889 -2.2109 -1.3106 -0.4234 -3.9550 8.1222" Properties=species:S:1:pos:R:3 comment="ScZn10Cd PBE-GGA optimized geometry" magmom_total_mub_per_fu=0.00 delta_e_f_ev_per_atom=-0.07 mass_density_g_cm3=6.7 dft_energy_ev_per_cell=-20.8 pbc="T T T"
Zn -2.5978 -4.4060 6.1228
Zn -3.3006 0.5839 0.1123
Zn -2.5346 -1.7960 6.4043
Zn -1.2679 -0.2881 4.8287
Zn -0.2855 -2.6665 5.4761
Zn -2.3145 -1.7600 0.6889
Zn -0.1379 -1.2885 2.6462
Zn -2.3348 0.0703 2.5717
Zn -4.6898 -2.8574 5.7751
Zn -4.4900 -0.9912 1.9425
Cd 0.0000 0.0000 0.0000
Sc -2.4561 -3.0830 3.4058

---

16
Lattice="-3.7325 2.4471 0.4314 -0.8805 -0.5746 -4.3589 -8.8871 -14.2020 3.6673" Properties=species:S:1:pos:R:3 comment="Sc3ZnCd12 PBE-GGA optimized geometry" magmom_total_mub_per_fu=0.00 delta_e_f_ev_per_atom=-0.14 mass_density_g_cm3=7.5 dft_energy_ev_per_cell=-33.5 pbc="T T T"
Cd -6.0192 -9.2027 0.1228
Cd -2.9104 -0.4450 0.6466
Cd -3.7484 -5.5738 -0.8143
Cd -6.7501 -6.1647 -0.1301
Cd -4.4713 -2.5231 -1.0704
Cd -8.2832 -12.8207 1.0570
Cd -9.7092 -11.3099 3.4522
Cd -1.4844 -1.9559 -1.7486
Cd -5.1744 -4.0630 1.5808
Cd -7.4452 -7.6919 2.5179
Cd -2.3065 0.9362 -1.9637
Cd -9.0288 -9.8063 0.8103
Sc -2.1529 -3.4405 0.8884
Sc -6.7342 -10.7615 2.7789
Sc -4.4436 -7.1010 1.8337
Zn 0.0000 0.0000 0.0000